<a>
Below is Ca2Cd2Hg7 after structural relaxation, with properties calculated at the PBE-GGA level.

For the volume, the calculation gives 571 Å³ per cell.

It has space group Imm2 (No. 44), with a = 5.0497 Å, b = 16.2006 Å, c = 6.9803 Å, α = 90.00°, β = 90.00° and γ = 90.00°. The inequivalent atoms are Ca at (0.0000, 0.2066, 0.0000), Cd at (0.0000, 0.0000, 0.7699), Cd at (0.0000, 0.5000, 0.9922), Hg at (0.0000, 0.0000, 0.1952), Hg at (0.0000, 0.1634, 0.5010), Hg at (0.0000, 0.3651, 0.7192) and Hg at (0.0000, 0.3704, 0.2825).

***

<b>
Below is Ca2Cd2Hg7 after structural relaxation, with properties calculated at the PBE-GGA level.

For the volume, the calculation gives 666 Å³ per cell.

It has space group Cmmm (No. 65), with a = 9.9107 Å, b = 11.1004 Å, c = 6.0571 Å, α = 90.00°, β = 90.00° and γ = 90.00°. The inequivalent atoms are Ca at (0.1944, 0.0000, 0.0000), Cd at (0.0000, 0.2599, 0.5000), Hg at (0.0000, 0.0000, 0.5000), Hg at (0.0000, 0.5000, 0.2476) and Hg at (0.2500, 0.2500, 0.2446).

***

Computed stability ranking, most favorable first: <a>, <b>

***

<a>
Below is CaCd6Hg2 after structural relaxation, with properties calculated at the PBE-GGA level.

For the volume, the calculation gives 441 Å³ per cell.

It has space group C2/m (No. 12), with a = 15.4779 Å, b = 8.6449 Å, c = 3.3761 Å, α = 90.00°, β = 102.53° and γ = 90.00°. The inequivalent atoms are Ca at (0.0000, 0.0000, 0.0000), Cd at (0.0000, 0.3282, 0.5000), Cd at (0.1751, 0.1729, 0.6730) and Hg at (0.1481, 0.5000, 0.1548).

***

<b>
Below is CaCd6Hg2 after structural relaxation, with properties calculated at the PBE-GGA level.

For the volume, the calculation gives 220 Å³ per cell.

It has space group P4/mmm (No. 123), with a = 4.4309 Å, b = 4.4309 Å, c = 11.2113 Å, α = 90.00°, β = 90.00° and γ = 90.00°. The inequivalent atoms are Ca at (0.0000, 0.0000, 0.0000), Cd at (0.0000, 0.0000, 0.5000), Cd at (0.0000, 0.5000, 0.2989), Cd at (0.5000, 0.5000, 0.5000) and Hg at (0.5000, 0.5000, 0.1253).

***

Computed stability ranking, most favorable first: <b>, <a>

***

<a>
Below is Ca3Cd4Hg2 after structural relaxation, with properties calculated at the PBE-GGA level.

For the volume, the calculation gives 238 Å³ per cell.

It has space group P-1 (No. 2), with a = 5.4049 Å, b = 5.6545 Å, c = 9.2873 Å, α = 103.77°, β = 93.02° and γ = 118.35°. The inequivalent atoms are Ca at (0.0000, 0.0000, 0.0000), Ca at (0.3911, 0.7773, 0.6466), Cd at (0.0730, 0.1376, 0.6665), Cd at (0.3275, 0.6567, 0.9848) and Hg at (0.2586, 0.5333, 0.2918).

***

<b>
Below is Ca3Cd4Hg2 after structural relaxation, with properties calculated at the PBE-GGA level.

For the volume, the calculation gives 473 Å³ per cell.

It has space group C2/m (No. 12), with a = 11.3596 Å, b = 4.9707 Å, c = 9.4108 Å, α = 90.00°, β = 117.14° and γ = 90.00°. The inequivalent atoms are Ca at (0.0000, 0.0000, 0.0000), Ca at (0.1750, 0.5000, 0.6549), Cd at (0.0360, 0.0000, 0.3736), Cd at (0.2252, 0.5000, 0.0571) and Hg at (0.0993, 0.5000, 0.2663).

***

Computed stability ranking, most favorable first: <b>, <a>

***

<a>
Below is Ca2Cd2Hg after structural relaxation, with properties calculated at the PBE-GGA level.

For the volume, the calculation gives 305 Å³ per cell.

It has space group P4/mbm (No. 127), with a = 8.5200 Å, b = 8.5200 Å, c = 4.1953 Å, α = 90.00°, β = 90.00° and γ = 90.00°. The inequivalent atoms are Ca at (0.1634, 0.3366, 0.0000), Cd at (0.1318, 0.6318, 0.5000) and Hg at (0.0000, 0.0000, 0.0000).

***

<b>
Below is Ca2Cd2Hg after structural relaxation, with properties calculated at the PBE-GGA level.

For the volume, the calculation gives 275 Å³ per cell.

It has space group Amm2 (No. 38), with a = 3.8029 Å, b = 4.7187 Å, c = 15.3141 Å, α = 90.00°, β = 90.00° and γ = 90.00°. The inequivalent atoms are Ca at (0.0000, 0.0000, 0.0000), Ca at (0.0000, 0.0000, 0.2386), Cd at (0.5000, 0.0000, 0.6207), Cd at (0.5000, 0.0000, 0.8146) and Hg at (0.5000, 0.0000, 0.4248).

***

Computed stability ranking, most favorable first: <b>, <a>